[1]
## GeMoW (GGA-PBE)

Data for a geometry-optimized GeMoW structure.

Computed properties:
Distance to the lowest polymorph of the same formula ... 0.02 eV/f.u.
Energy of formation ... 0.12 eV/atom
Spin magnetization ... 0.00 μB per cell

```
GeMoW
1.0
4.604 0.000 0.000
0.000 4.590 0.000
-2.223 0.000 4.415
Ge Mo W
2 2 2
direct
0.248 0.250 0.497 Ge
0.752 0.750 0.503 Ge
0.074 0.750 0.167 Mo
0.926 0.250 0.833 Mo
0.428 0.750 0.837 W
0.572 0.250 0.163 W
```



[2]
## GeMoW (GGA-PBE)

Data for a geometry-optimized GeMoW structure.

Computed properties:
Distance to the lowest polymorph of the same formula ... 0.00 eV/f.u.
Energy of formation ... 0.12 eV/atom
Spin magnetization ... 0.00 μB per cell

```
GeMoW
1.0
4.749 0.000 0.000
1.669 4.721 0.000
1.669 1.911 4.318
Ge Mo W
2 2 2
direct
0.000 0.000 0.000 Ge
0.463 0.375 0.374 Ge
0.234 0.935 0.437 Mo
0.840 0.520 0.522 Mo
0.234 0.442 0.930 W
0.628 0.848 0.850 W
```



Which formula does entry 2 have? GeMoW